1.
A plane-wave DFT calculation with PBE-GGA was carried out for a relaxed NiAgP2Pb crystal.

a = 4.6881 Å, b = 4.6881 Å, c = 5.4227 Å
α = 90.00°, β = 90.00°, γ = 90.00°
Space group P4/mmm (No. 123)
Unique sites:
1 Ni 0.0000 0.0000 0.0000 (multiplicity 1)
2 Ag 0.5000 0.5000 0.5000 (multiplicity 1)
3 P 0.0000 0.5000 0.5000 (multiplicity 2)
4 Pb 0.5000 0.5000 0.0000 (multiplicity 1)

Output
Fermi-level density of states	4.82	states/eV/cell
ρ	6.1	g/cm³
formation energy from the elements	1.27	eV/atom

2.
A plane-wave DFT calculation with PBE-GGA was carried out for a relaxed Sr4BeSb crystal.

a = 9.8616 Å, b = 9.8616 Å, c = 9.8616 Å
α = 90.00°, β = 90.00°, γ = 90.00°
Space group F-43m (No. 216)
Unique sites:
1 Sr 0.1243 0.1243 0.3757 (multiplicity 16)
2 Be 0.0000 0.0000 0.0000 (multiplicity 4)
3 Sb 0.2500 0.2500 0.7500 (multiplicity 4)

Output
formation energy without anion corrections	0.63	eV per atom
Fermi-level density of states	31.99	states/eV/cell
ρ	3.3	g/cm³

3.
A plane-wave DFT calculation with PBE-GGA was carried out for a relaxed Pm4Pr2TmTh2 crystal.

a = 6.1745 Å, b = 6.8469 Å, c = 8.5507 Å
α = 78.71°, β = 70.48°, γ = 65.02°
Space group P-1 (No. 2)
Unique sites:
1 Pm 0.0108 0.1294 0.2771 (multiplicity 2)
2 Pm 0.3301 0.5644 0.3654 (multiplicity 2)
3 Pr 0.0975 0.3113 0.8502 (multiplicity 2)
4 Tm 0.5000 0.0000 0.5000 (multiplicity 1)
5 Th 0.4558 0.7764 0.9488 (multiplicity 2)

Output
Fermi-level density of states	13.72	states/eV/cell
ρ	8.1	g/cm³
formation energy from the elements	0.11	eV/atom

4.
A plane-wave DFT calculation with PBE-GGA was carried out for a relaxed ZrSc2RhO crystal.

a = 4.2797 Å, b = 4.2797 Å, c = 4.5216 Å
α = 90.00°, β = 90.00°, γ = 90.00°
Space group P4/mmm (No. 123)
Unique sites:
1 Zr 0.0000 0.0000 0.0000 (multiplicity 1)
2 Sc 0.0000 0.5000 0.5000 (multiplicity 2)
3 Rh 0.5000 0.5000 0.0000 (multiplicity 1)
4 O 0.0000 0.0000 0.5000 (multiplicity 1)

Output
formation energy without anion corrections	-1.43	eV per atom
Fermi-level density of states	4.93	states/eV/cell
ρ	6.0	g/cm³

5.
A plane-wave DFT calculation with PBE-GGA was carried out for a relaxed LaAsOs2 crystal.

a = 2.9239 Å, b = 3.8898 Å, c = 6.7557 Å
α = 90.00°, β = 90.00°, γ = 90.00°
Space group Pmm2 (No. 25)
Unique sites:
1 La 0.0000 0.0000 0.0000 (multiplicity 1)
2 As 0.5000 0.5000 0.6768 (multiplicity 1)
3 Os 0.0000 0.0000 0.4636 (multiplicity 1)
4 Os 0.5000 0.5000 0.3056 (multiplicity 1)

Output
Fermi-level density of states	3.62	states/eV/cell
ρ	12.8	g/cm³
formation energy from the elements	0.10	eV/atom

6.
A plane-wave DFT calculation with PBE-GGA was carried out for a relaxed K4Ac3SmSe8 crystal.

a = 9.0279 Å, b = 9.0279 Å, c = 23.1697 Å
α = 90.00°, β = 90.00°, γ = 120.00°
Space group R-3m (No. 166, hexagonal axes)
Unique sites:
1 K 0.0000 0.0000 0.0000 (multiplicity 3)
2 K 0.0000 0.5000 0.0000 (multiplicity 9)
3 Ac 0.0000 0.5000 0.5000 (multiplicity 9)
4 Sm 0.0000 0.0000 0.5000 (multiplicity 3)
5 Se 0.0000 0.0000 0.2402 (multiplicity 6)
6 Se 0.0125 0.5063 0.2378 (multiplicity 18)

Output
formation energy without anion corrections	-1.79	eV per atom
Fermi-level density of states	0.00	states/eV/cell
ρ	4.9	g/cm³

7.
A plane-wave DFT calculation with PBE-GGA was carried out for a relaxed LiSmRh4 crystal.

a = 7.4484 Å, b = 7.4484 Å, c = 7.4484 Å
α = 90.00°, β = 90.00°, γ = 90.00°
Space group F-43m (No. 216)
Unique sites:
1 Li 0.0000 0.0000 0.0000 (multiplicity 4)
2 Sm 0.2500 0.2500 0.7500 (multiplicity 4)
3 Rh 0.1254 0.1254 0.3746 (multiplicity 16)

Output
Fermi-level density of states	30.83	states/eV/cell
ρ	9.1	g/cm³
formation energy from the elements	-0.41	eV/atom

8.
A plane-wave DFT calculation with PBE-GGA was carried out for a relaxed ZrTi2Tl3S6 crystal.

a = 6.0885 Å, b = 10.5432 Å, c = 8.6374 Å
α = 90.00°, β = 103.42°, γ = 90.00°
Space group C2/m (No. 12)
Unique sites:
1 Zr 0.0000 0.0000 0.0000 (multiplicity 2)
2 Ti 0.0000 0.3334 0.0000 (multiplicity 4)
3 Tl 0.0000 0.1664 0.5000 (multiplicity 4)
4 Tl 0.0000 0.5000 0.5000 (multiplicity 2)
5 S 0.2102 0.5000 0.1744 (multiplicity 4)
6 S 0.2312 0.1736 0.1746 (multiplicity 8)

Output
formation energy without anion corrections	-1.05	eV per atom
Fermi-level density of states	15.99	states/eV/cell
ρ	6.1	g/cm³

9.
A plane-wave DFT calculation with PBE-GGA was carried out for a relaxed FeReAs crystal.

a = 2.9616 Å, b = 2.9616 Å, c = 9.2063 Å
α = 90.00°, β = 90.00°, γ = 90.00°
Space group I4mm (No. 107)
Unique sites:
1 Fe 0.0000 0.0000 0.0000 (multiplicity 2)
2 Re 0.0000 0.0000 0.3227 (multiplicity 2)
3 As 0.0000 0.0000 0.6490 (multiplicity 2)

Output
distance to the lowest polymorph of the same formula	0.00	kcal/mol of atoms
Fermi-level density of states	6.17	states/eV/cell
ρ	13.0	g/cm³
formation energy from the elements	0.26	eV/atom

10.
A plane-wave DFT calculation with PBE-GGA was carried out for a relaxed SrTmGeAu crystal.

a = 7.3678 Å, b = 7.3678 Å, c = 7.3678 Å
α = 90.00°, β = 90.00°, γ = 90.00°
Space group F-43m (No. 216)
Unique sites:
1 Sr 0.0000 0.0000 0.0000 (multiplicity 4)
2 Tm 0.0000 0.0000 0.5000 (multiplicity 4)
3 Ge 0.2500 0.2500 0.7500 (multiplicity 4)
4 Au 0.2500 0.2500 0.2500 (multiplicity 4)

Output
Fermi-level density of states	5.70	states/eV/cell
ρ	8.7	g/cm³
formation energy from the elements	-0.65	eV/atom

11.
A plane-wave DFT calculation with PBE-GGA was carried out for a relaxed NbTlIr3 crystal.

a = 4.8423 Å, b = 4.8423 Å, c = 4.8423 Å
α = 90.00°, β = 90.00°, γ = 90.00°
Space group Pm-3m (No. 221)
Unique sites:
1 Nb 0.0000 0.0000 0.0000 (multiplicity 1)
2 Tl 0.5000 0.5000 0.5000 (multiplicity 1)
3 Ir 0.0000 0.0000 0.5000 (multiplicity 3)

Output
distance to the lowest polymorph of the same formula	0.00	kcal/mol of atoms
Fermi-level density of states	3.51	states/eV/cell
ρ	12.8	g/cm³
formation energy from the elements	1.37	eV/atom

12.
A plane-wave DFT calculation with PBE-GGA was carried out for a relaxed NbV2Ga3 crystal.

a = 3.8850 Å, b = 11.3923 Å, c = 4.0536 Å
α = 90.00°, β = 90.00°, γ = 90.00°
Space group Cmmm (No. 65)
Unique sites:
1 Nb 0.0000 0.0000 0.0000 (multiplicity 2)
2 V 0.0000 0.3240 0.0000 (multiplicity 4)
3 Ga 0.0000 0.1700 0.5000 (multiplicity 4)
4 Ga 0.0000 0.5000 0.5000 (multiplicity 2)

Output
distance to the lowest polymorph of the same formula	0.00	kcal/mol of atoms
Fermi-level density of states	6.78	states/eV/cell
ρ	7.5	g/cm³
formation energy from the elements	-0.21	eV/atom

13.
A plane-wave DFT calculation with PBE-GGA was carried out for a relaxed AcLaNd5Sm2 crystal.

a = 8.9965 Å, b = 8.9965 Å, c = 16.2310 Å
α = 90.00°, β = 90.00°, γ = 90.00°
Space group I4/mcm (No. 140)
Unique sites:
1 Ac 0.0000 0.0000 0.2500 (multiplicity 4)
2 La 0.0000 0.5000 0.2500 (multiplicity 4)
3 Nd 0.0000 0.0000 0.0000 (multiplicity 4)
4 Nd 0.1974 0.3026 0.1309 (multiplicity 16)
5 Sm 0.1193 0.3807 0.5000 (multiplicity 8)

Output
Fermi-level density of states	52.90	states/eV/cell
ρ	7.0	g/cm³
formation energy from the elements	0.23	eV/atom

14.
A plane-wave DFT calculation with PBE-GGA was carried out for a relaxed La2CdHgRh crystal.

a = 5.4311 Å, b = 5.4311 Å, c = 5.2609 Å
α = 90.00°, β = 90.00°, γ = 90.00°
Space group P4/mmm (No. 123)
Unique sites:
1 La 0.0000 0.5000 0.0000 (multiplicity 2)
2 Cd 0.0000 0.0000 0.5000 (multiplicity 1)
3 Hg 0.5000 0.5000 0.5000 (multiplicity 1)
4 Rh 0.0000 0.0000 0.0000 (multiplicity 1)

Output
distance to the lowest polymorph of the same formula	3.34	kcal/mol of atoms
Fermi-level density of states	3.10	states/eV/cell
ρ	7.4	g/cm³
formation energy from the elements	-0.44	eV/atom

15.
A plane-wave DFT calculation with PBE-GGA was carried out for a relaxed Hg2PbCl crystal.

a = 3.6716 Å, b = 4.8246 Å, c = 13.3450 Å
α = 90.00°, β = 90.00°, γ = 90.00°
Space group Immm (No. 71)
Unique sites:
1 Hg 0.0000 0.0000 0.2080 (multiplicity 4)
2 Pb 0.0000 0.5000 0.5000 (multiplicity 2)
3 Cl 0.0000 0.5000 0.0000 (multiplicity 2)

Output
distance to the lowest polymorph of the same formula	0.04	kcal/mol of atoms
formation energy without anion corrections	-0.29	eV per atom
Fermi-level density of states	2.22	states/eV/cell
ρ	9.0	g/cm³

16.
A plane-wave DFT calculation with PBE-GGA was carried out for a relaxed NiOsBr crystal.

a = 2.9901 Å, b = 2.9901 Å, c = 5.9526 Å
α = 90.00°, β = 90.00°, γ = 120.00°
Space group P3m1 (No. 156)
Unique sites:
1 Ni 0.0000 0.0000 0.0000 (multiplicity 1)
2 Os 0.3333 0.6667 0.3046 (multiplicity 1)
3 Br 0.6667 0.3333 0.6689 (multiplicity 1)

Output
distance to the lowest polymorph of the same formula	0.00	kcal/mol of atoms
formation energy without anion corrections	0.85	eV per atom
Fermi-level density of states	3.49	states/eV/cell
ρ	11.8	g/cm³

17.
A plane-wave DFT calculation with PBE-GGA was carried out for a relaxed B2Pt4Au3 crystal.

a = 12.6609 Å, b = 3.1316 Å, c = 7.6008 Å
α = 90.00°, β = 111.70°, γ = 90.00°
Space group C2/m (No. 12)
Unique sites:
1 B 0.1758 0.0000 0.3032 (multiplicity 4)
2 Pt 0.0617 0.5000 0.1893 (multiplicity 4)
3 Pt 0.2011 0.0000 0.6129 (multiplicity 4)
4 Au 0.0000 0.5000 0.5000 (multiplicity 2)
5 Au 0.1466 0.0000 0.9363 (multiplicity 4)

Output
Fermi-level density of states	4.99	states/eV/cell
ρ	16.5	g/cm³
formation energy from the elements	-0.06	eV/atom

18.
A plane-wave DFT calculation with PBE-GGA was carried out for a relaxed Rb2BBr7 crystal.

a = 8.4039 Å, b = 8.4039 Å, c = 10.1178 Å
α = 90.00°, β = 90.00°, γ = 90.00°
Space group I4/mmm (No. 139)
Unique sites:
1 Rb 0.0000 0.5000 0.2500 (multiplicity 4)
2 B 0.0000 0.0000 0.0000 (multiplicity 2)
3 Br 0.0000 0.0000 0.1842 (multiplicity 4)
4 Br 0.0000 0.0000 0.5000 (multiplicity 2)
5 Br 0.2475 0.2475 0.0000 (multiplicity 8)

Output
formation energy without anion corrections	-0.55	eV per atom
Fermi-level density of states	0.00	states/eV/cell
ρ	3.4	g/cm³

19.
A plane-wave DFT calculation with PBE-GGA was carried out for a relaxed ZrCrC3 crystal.

a = 3.7762 Å, b = 3.7762 Å, c = 3.7762 Å
α = 90.00°, β = 90.00°, γ = 90.00°
Space group Pm-3m (No. 221)
Unique sites:
1 Zr 0.0000 0.0000 0.0000 (multiplicity 1)
2 Cr 0.5000 0.5000 0.5000 (multiplicity 1)
3 C 0.0000 0.5000 0.5000 (multiplicity 3)

Output
distance to the lowest polymorph of the same formula	0.00	kcal/mol of atoms
Fermi-level density of states	3.51	states/eV/cell
ρ	5.5	g/cm³
formation energy from the elements	0.91	eV/atom

20.
A plane-wave DFT calculation with PBE-GGA was carried out for a relaxed Ce3GaSn2 crystal.

a = 3.4062 Å, b = 3.4062 Å, c = 13.3779 Å
α = 90.00°, β = 90.00°, γ = 90.00°
Space group P4/mmm (No. 123)
Unique sites:
1 Ce 0.0000 0.0000 0.0000 (multiplicity 1)
2 Ce 0.0000 0.0000 0.3478 (multiplicity 2)
3 Ga 0.5000 0.5000 0.5000 (multiplicity 1)
4 Sn 0.5000 0.5000 0.1732 (multiplicity 2)

Output
distance to the lowest polymorph of the same formula	0.00	kcal/mol of atoms
Fermi-level density of states	14.71	states/eV/cell
ρ	7.8	g/cm³
formation energy from the elements	-0.55	eV/atom

21.
A plane-wave DFT calculation with PBE-GGA was carried out for a relaxed HfRuI2N crystal.

a = 5.5514 Å, b = 5.5514 Å, c = 3.6739 Å
α = 90.00°, β = 90.00°, γ = 90.00°
Space group P4/mmm (No. 123)
Unique sites:
1 Hf 0.0000 0.0000 0.0000 (multiplicity 1)
2 Ru 0.5000 0.5000 0.5000 (multiplicity 1)
3 I 0.0000 0.5000 0.5000 (multiplicity 2)
4 N 0.5000 0.5000 0.0000 (multiplicity 1)

Output
distance to the lowest polymorph of the same formula	0.42	kcal/mol of atoms
formation energy without anion corrections	0.62	eV per atom
Fermi-level density of states	5.07	states/eV/cell
ρ	8.0	g/cm³

22.
A plane-wave DFT calculation with PBE-GGA was carried out for a relaxed AlCoReBr2 crystal.

a = 4.8833 Å, b = 4.8833 Å, c = 5.3198 Å
α = 90.00°, β = 90.00°, γ = 90.00°
Space group P4/mmm (No. 123)
Unique sites:
1 Al 0.0000 0.0000 0.0000 (multiplicity 1)
2 Co 0.5000 0.5000 0.5000 (multiplicity 1)
3 Re 0.0000 0.0000 0.5000 (multiplicity 1)
4 Br 0.0000 0.5000 0.0000 (multiplicity 2)

Output
formation energy without anion corrections	1.56	eV per atom
Fermi-level density of states	11.36	states/eV/cell
ρ	5.7	g/cm³

23.
A plane-wave DFT calculation with PBE-GGA was carried out for a relaxed Pa3Hg6Br14 crystal.

a = 12.2257 Å, b = 12.2257 Å, c = 7.5085 Å
α = 90.00°, β = 90.00°, γ = 120.00°
Space group P3 (No. 143)
Unique sites:
1 Pa 0.0000 0.0000 0.0000 (multiplicity 1)
2 Pa 0.3333 0.6667 0.5388 (multiplicity 1)
3 Pa 0.6667 0.3333 0.1805 (multiplicity 1)
4 Hg 0.0431 0.5501 0.4115 (multiplicity 3)
5 Hg 0.2949 0.1365 0.8756 (multiplicity 3)
6 Br 0.0000 0.0000 0.6397 (multiplicity 1)
7 Br 0.1019 0.8837 0.1818 (multiplicity 3)
8 Br 0.2049 0.4492 0.7202 (multiplicity 3)
9 Br 0.3333 0.6667 0.1783 (multiplicity 1)
10 Br 0.4549 0.2220 0.3919 (multiplicity 3)
11 Br 0.5560 0.4347 0.9701 (multiplicity 3)

Output
formation energy without anion corrections	-0.98	eV per atom
Fermi-level density of states	7.65	states/eV/cell
ρ	5.2	g/cm³

24.
A plane-wave DFT calculation with PBE-GGA was carried out for a relaxed AcGdSn2 crystal.

a = 5.1816 Å, b = 5.1816 Å, c = 4.5722 Å
α = 90.00°, β = 90.00°, γ = 90.00°
Space group P4/mmm (No. 123)
Unique sites:
1 Ac 0.0000 0.0000 0.0000 (multiplicity 1)
2 Gd 0.5000 0.5000 0.0000 (multiplicity 1)
3 Sn 0.0000 0.5000 0.5000 (multiplicity 2)

Output
Fermi-level density of states	4.08	states/eV/cell
ρ	8.4	g/cm³
formation energy from the elements	-0.60	eV/atom

25.
A plane-wave DFT calculation with PBE-GGA was carried out for a relaxed LaEuScIn crystal.

a = 7.7620 Å, b = 7.7620 Å, c = 7.7620 Å
α = 90.00°, β = 90.00°, γ = 90.00°
Space group F-43m (No. 216)
Unique sites:
1 La 0.0000 0.0000 0.0000 (multiplicity 4)
2 Eu 0.2500 0.2500 0.7500 (multiplicity 4)
3 Sc 0.0000 0.0000 0.5000 (multiplicity 4)
4 In 0.2500 0.2500 0.2500 (multiplicity 4)

Output
Fermi-level density of states	26.07	states/eV/cell
ρ	6.4	g/cm³
formation energy from the elements	-0.13	eV/atom

26.
A plane-wave DFT calculation with PBE-GGA was carried out for a relaxed Ni2AsRh crystal.

a = 4.9897 Å, b = 7.0431 Å, c = 2.9525 Å
α = 90.00°, β = 90.00°, γ = 90.00°
Space group Cmmm (No. 65)
Unique sites:
1 Ni 0.2500 0.2500 0.0000 (multiplicity 4)
2 As 0.0000 0.0000 0.5000 (multiplicity 2)
3 Rh 0.0000 0.5000 0.5000 (multiplicity 2)

Output
Fermi-level density of states	7.23	states/eV/cell
ρ	9.4	g/cm³
formation energy from the elements	-0.08	eV/atom